## Sn2TeI2 (PBE)

Data for an optimized crystal structure of Sn2TeI2.

a b c (Å): 8.605 8.605 4.840
angles (deg): 90.00 90.00 90.00
Atoms (fractional coordinates):
Sn 0.185 0.315 0.000
Sn 0.315 0.815 0.000
Sn 0.685 0.185 0.000
Sn 0.815 0.685 0.000
Te 0.000 0.000 0.000
Te 0.500 0.500 0.000
I 0.153 0.653 0.500
I 0.347 0.153 0.500
I 0.653 0.847 0.500
I 0.847 0.347 0.500

Properties
Formation energy (no corrections), eV/atom: -0.177

=====

## Sn2Te2I (PBE)

Data for an optimized crystal structure of Sn2Te2I.

a b c (Å): 8.034 8.034 8.034
angles (deg): 143.96 143.96 51.89
Atoms (fractional coordinates):
Sn 0.120 0.120 0.000
Sn 0.880 0.880 0.000
Te 0.250 0.750 0.500
Te 0.750 0.250 0.500
I 0.500 0.500 0.000

Properties
Formation energy (no corrections), eV/atom: -0.159

=====

Number 1: offset from the most stable computed form 1.162 eV/f.u.. Number 2: offset from the most stable computed form 0.624 eV/f.u..